1.
{"formula": "CsK2SbCl6", "functional": "PBE", "state": "optimized geometry", "energy_ev_per_cell": -33.797, "de_polymorph_ev_per_atom": 0.000, "raw_formation_energy_kj_per_mol_atoms": -150.0, "lattice": [[3.951, 2.281, 6.927], [-3.951, 2.281, 6.927], [0.000, -4.562, 6.927]], "species": ["Cs", "K", "K", "Sb", "Cl", "Cl", "Cl", "Cl", "Cl", "Cl"], "fractional_positions": [[0.000, 0.000, 0.000], [0.279, 0.279, 0.279], [0.797, 0.797, 0.797], [0.483, 0.483, 0.483], [0.133, 0.653, 0.422], [0.244, 0.572, 0.838], [0.422, 0.133, 0.653], [0.572, 0.838, 0.244], [0.653, 0.422, 0.133], [0.838, 0.244, 0.572]]}



2.
{"formula": "Cs3KSc2Cl9", "functional": "PBE", "state": "optimized geometry", "energy_ev_per_cell": -63.443, "raw_formation_energy_kj_per_mol_atoms": -196.2, "lattice": [[7.602, 0.000, 0.000], [-3.801, 6.584, 0.000], [0.000, 0.000, 9.542]], "species": ["Cs", "Cs", "Cs", "K", "Sc", "Sc", "Cl", "Cl", "Cl", "Cl", "Cl", "Cl", "Cl", "Cl", "Cl"], "fractional_positions": [[0.000, 0.000, 0.000], [0.333, 0.667, 0.662], [0.667, 0.333, 0.338], [0.000, 0.000, 0.500], [0.333, 0.667, 0.153], [0.667, 0.333, 0.847], [0.000, 0.500, 0.000], [0.178, 0.356, 0.304], [0.178, 0.822, 0.304], [0.356, 0.178, 0.696], [0.500, 0.000, 0.000], [0.500, 0.500, 0.000], [0.644, 0.822, 0.304], [0.822, 0.178, 0.696], [0.822, 0.644, 0.696]]}



3.
{"formula": "CsKSc2Cl8", "functional": "PBE", "state": "optimized geometry", "energy_ev_per_cell": -53.983, "raw_formation_energy_kj_per_mol_atoms": -197.8, "lattice": [[3.595, 2.076, 9.681], [-3.595, 2.076, 9.681], [0.000, -4.152, 9.681]], "species": ["Cs", "K", "Sc", "Sc", "Cl", "Cl", "Cl", "Cl", "Cl", "Cl", "Cl", "Cl"], "fractional_positions": [[0.000, 0.000, 0.000], [0.500, 0.500, 0.500], [0.253, 0.253, 0.253], [0.747, 0.747, 0.747], [0.062, 0.440, 0.811], [0.189, 0.938, 0.560], [0.333, 0.333, 0.333], [0.440, 0.811, 0.062], [0.560, 0.189, 0.938], [0.667, 0.667, 0.667], [0.811, 0.062, 0.440], [0.938, 0.560, 0.189]]}



4.
{"formula": "CsK2SeCl", "functional": "PBE", "state": "optimized geometry", "energy_ev_per_cell": -10.370, "de_polymorph_ev_per_atom": 0.915, "raw_formation_energy_kj_per_mol_atoms": -38.4, "lattice": [[7.560, 0.000, 0.000], [0.000, 7.560, 0.000], [0.000, 0.000, 6.011]], "species": ["Cs", "K", "K", "Se", "Cl"], "fractional_positions": [[0.000, 0.000, 0.000], [0.000, 0.500, 0.000], [0.500, 0.000, 0.000], [0.000, 0.000, 0.500], [0.500, 0.500, 0.500]]}